(1)
Compound: Co3Te8Pd
Source: Alexandria via LeMat-Bulk
Functional: PBE
Structure: relaxed

Output
DOS at the Fermi energy = 0.486 states/eV/atom
Symmetry = No. 12
Formation energy without anion corrections = -229 meV per atom

abc: 7.7411 7.7527 8.7110
angles: 132.44 90.00 119.95
With the nearest neighbours (Å) after each atom.
Positions (direct):
Te 0.2131 0.4263 0.7622  3 Co 2.59
Te 0.2975 0.0701 0.2430  2 Co 2.56, 1 Pd 2.70
Te 0.7869 0.5737 0.2378  3 Co 2.59
Co 0.5000 0.0000 0.0000  6 Te 2.56-2.59
Te 0.7726 0.0701 0.2430  2 Co 2.56, 1 Pd 2.70
Te 0.2982 0.5964 0.2428  2 Co 2.55, 1 Pd 2.71
Te 0.2274 0.9299 0.7570  2 Co 2.56, 1 Pd 2.70
Te 0.7025 0.9299 0.7570  2 Co 2.56, 1 Pd 2.70
Pd 0.0000 0.0000 0.0000  6 Te 2.70-2.71
Co 0.0000 0.5000 0.0000  6 Te 2.55-2.59
Co 0.5000 0.5000 0.0000  6 Te 2.55-2.59
Te 0.7018 0.4036 0.7572  2 Co 2.55, 1 Pd 2.71

(2)
Compound: CoTe6Pd3
Source: Alexandria via LeMat-Bulk
Functional: PBE
Structure: relaxed

Output
DOS at the Fermi energy = 0.378 states/eV/atom
Symmetry = No. 2
Formation energy without anion corrections = -69 meV per atom

abc: 6.0165 8.0969 8.1285
angles: 59.69 67.34 67.57
With the nearest neighbours (Å) after each atom.
Positions (direct):
Pd 0.5000 0.5000 0.0000  4 Te 2.59-2.68
Pd 0.5000 0.5000 0.5000  4 Te 2.65-2.66
Te 0.8207 0.2126 0.2105  2 Pd 2.68, 1 Co 2.68
Te 0.3210 0.7261 0.1819  1 Co 2.54, 2 Pd 2.59-2.66
Te 0.1793 0.7874 0.7895  2 Pd 2.68, 1 Co 2.68
Co 0.0000 0.0000 0.0000  6 Te 2.54-2.68
Pd 0.5000 0.0000 0.5000  4 Te 2.59-2.68
Te 0.6720 0.8223 0.2708  1 Co 2.54, 2 Pd 2.59-2.65
Te 0.3280 0.1777 0.7292  1 Co 2.54, 2 Pd 2.59-2.65
Te 0.6790 0.2739 0.8181  1 Co 2.54, 2 Pd 2.59-2.66

(3)
Compound: CoTe4Pd2
Source: Alexandria via LeMat-Bulk
Functional: PBE
Structure: relaxed

Output
DOS at the Fermi energy = 0.680 states/eV/atom
Symmetry = No. 12
Formation energy without anion corrections = -257 meV per atom

abc: 4.0631 6.9634 6.8813
angles: 121.71 107.17 90.00
With the nearest neighbours (Å) after each atom.
Positions (direct):
Te 0.6243 0.2748 0.2485  2 Co 2.65, 3 Pd 2.81-2.82
Co 0.0000 0.0000 0.0000  6 Te 2.63-2.65, 2 Pd 2.90
Te 0.1059 0.7720 0.2117  1 Co 2.63, 3 Pd 2.71-2.77
Te 0.3757 0.7252 0.7515  2 Co 2.65, 3 Pd 2.81-2.82
Pd 0.7364 0.7543 0.4728  6 Te 2.71-2.82, 1 Co 2.90
Te 0.8941 0.2280 0.7883  1 Co 2.63, 3 Pd 2.71-2.77
Pd 0.2636 0.2457 0.5272  6 Te 2.71-2.82, 1 Co 2.90

(4)
Compound: ZrCoTe2Pd
Source: Alexandria via LeMat-Bulk
Functional: PBE
Structure: relaxed

Output
DOS at the Fermi energy = 1.102 states/eV/atom
Symmetry = No. 123
Formation energy without anion corrections = 730 meV per atom

abc: 5.5069 4.7614 5.5069
angles: 90.00 90.00 90.00
With the nearest neighbours (Å) after each atom.
Positions (direct):
Te 0.5000 0.0000 0.0000  2 Zr 2.75
Pd 0.5000 0.5000 0.5000  8 Te 3.64, 4 Co 3.89
Zr 0.0000 0.0000 0.0000  2 Co 2.38
Co 0.0000 0.5000 0.0000  2 Zr 2.38
Te 0.0000 0.0000 0.5000  2 Zr 2.75

(5)
Compound: Th2CoPd
Source: Alexandria via LeMat-Bulk
Functional: PBE
Structure: relaxed

Output
DOS at the Fermi energy = 0.526 states/eV/atom
Energy = -7.30 eV/atom
Symmetry = No. 166

abc: 3.9896 3.9896 7.3136
angles: 90.01 105.85 119.95
With the nearest neighbours (Å) after each atom.
Positions (direct):
Pd 0.0000 0.5000 0.5000  6 Th 2.99
Th 0.4827 0.7417 0.2244  3 Co 2.78, 3 Pd 2.99
Th 0.5173 0.2583 0.7756  3 Co 2.78, 3 Pd 2.99
Co 0.0000 0.0000 0.0000  6 Th 2.78

(6)
Compound: Th3CoPd2
Source: Alexandria via LeMat-Bulk
Functional: PBE
Structure: relaxed

Output
DOS at the Fermi energy = 0.815 states/eV/atom
Energy = -7.18 eV/atom
Symmetry = No. 15

abc: 5.9535 7.4106 7.2494
angles: 102.46 114.24 90.00
With the nearest neighbours (Å) after each atom.
Positions (direct):
Th 0.6189 0.2500 0.0000  4 Pd 2.87-3.05, 2 Co 2.93-3.02
Pd 0.2277 0.9861 0.6799  6 Th 2.87-3.19, 1 Pd 2.94, 1 Co 2.96
Th 0.7424 0.8680 0.6804  1 Co 2.48
Pd 0.4522 0.4861 0.6799  6 Th 2.87-3.19, 1 Pd 2.94, 1 Co 2.96
Th 0.3811 0.7500 0.0000  4 Pd 2.87-3.05, 2 Co 2.93-3.02
Th 0.0620 0.6320 0.3196  1 Co 2.48
Pd 0.7723 0.0139 0.3201  6 Th 2.87-3.19, 1 Pd 2.94, 1 Co 2.96
Th 0.9380 0.3680 0.6804  1 Co 2.48
Co 0.8733 0.7500 0.0000  2 Th 2.48
Th 0.2576 0.1320 0.3196  1 Co 2.48
Pd 0.5478 0.5139 0.3201  6 Th 2.87-3.19, 1 Pd 2.94, 1 Co 2.96
Co 0.1267 0.2500 0.0000  2 Th 2.48

> What is the formula in the fifth record?

Th2CoPd

> What is the DOS at the Fermi energy in the fourth record?

1.102 states/eV/atom

> Which value of DOS at the Fermi energy does entry 6 give?

0.815 states/eV/atom

> Among the records above, which one has the lowest DOS at the Fermi energy?

CoTe6Pd3